EuNi4Ag: relaxed, PBE.

Cell and atoms, written as CIF:
```
data_EuNi4Ag
_chemical_formula_sum 'Eu4 Ni16 Ag4'
_cell_length_a 7.0826
_cell_length_b 7.0826
_cell_length_c 7.0826
_cell_angle_alpha 90.00
_cell_angle_beta 90.00
_cell_angle_gamma 90.00
_space_group_name_H-M_alt 'F -4 3 m'
_space_group_IT_number 216
_space_group_name_Hall 'F -4 2 3'
loop_
_atom_site_label
_atom_site_type_symbol
_atom_site_fract_x
_atom_site_fract_y
_atom_site_fract_z
Eu1 Eu 0.0000 0.0000 0.0000
Ni1 Ni 0.1245 0.1245 0.6245
Ag1 Ag 0.2500 0.2500 0.2500
```

Output
- DOS at the Fermi energy: 2.69 states/eV/atom
- DFT formation energy: -0.06 eV per atom
- V: 88.8 Å³/f.u.

---

CaMg2ZnCd2: relaxed, PBE.

Cell and atoms, written as CIF:
```
data_CaMg2ZnCd2
_chemical_formula_sum 'Ca2 Mg4 Zn2 Cd4'
_cell_length_a 5.5418
_cell_length_b 5.5418
_cell_length_c 11.4733
_cell_angle_alpha 90.00
_cell_angle_beta 90.00
_cell_angle_gamma 90.00
_space_group_name_H-M_alt 'I 4/m m m'
_space_group_IT_number 139
_space_group_name_Hall '-I 4 2'
loop_
_atom_site_label
_atom_site_type_symbol
_atom_site_fract_x
_atom_site_fract_y
_atom_site_fract_z
Ca1 Ca 0.0000 0.0000 0.0000
Mg1 Mg 0.0000 0.5000 0.2500
Zn1 Zn 0.0000 0.0000 0.5000
Cd1 Cd 0.0000 0.0000 0.2751
```

Output
- DOS at the Fermi energy: 0.55 states/eV/atom
- DFT formation energy: 0.15 eV per atom
- V: 176.2 Å³/f.u.

---

InOs2C: relaxed, PBE.

Cell and atoms, written as CIF:
```
data_InOs2C
_chemical_formula_sum 'In4 Os8 C4'
_cell_length_a 4.8268
_cell_length_b 4.8268
_cell_length_c 12.4644
_cell_angle_alpha 90.00
_cell_angle_beta 90.00
_cell_angle_gamma 90.00
_space_group_name_H-M_alt 'I -4 2 d'
_space_group_IT_number 122
_space_group_name_Hall 'I -4 2bw'
loop_
_atom_site_label
_atom_site_type_symbol
_atom_site_fract_x
_atom_site_fract_y
_atom_site_fract_z
In1 In 0.0000 0.0000 0.0000
Os1 Os 0.0830 0.2500 0.6250
C1 C 0.0000 0.0000 0.5000
```

Output
- Energy relative to the lowest polymorph listed for this composition: 0.00 kcal/mol of atoms
- DOS at the Fermi energy: 0.95 states/eV/atom
- DFT formation energy: 1.05 eV per atom
- V: 72.6 Å³/f.u.

---

MgTi: relaxed, PBE.

Cell and atoms, written as CIF:
```
data_MgTi
_chemical_formula_sum 'Mg4 Ti4'
_cell_length_a 6.5321
_cell_length_b 6.5321
_cell_length_c 6.5321
_cell_angle_alpha 90.00
_cell_angle_beta 90.00
_cell_angle_gamma 90.00
_space_group_name_H-M_alt 'F -4 3 m'
_space_group_IT_number 216
_space_group_name_Hall 'F -4 2 3'
loop_
_atom_site_label
_atom_site_type_symbol
_atom_site_fract_x
_atom_site_fract_y
_atom_site_fract_z
Mg1 Mg 0.0000 0.0000 0.0000
Ti1 Ti 0.2500 0.2500 0.7500
```

Output
- DOS at the Fermi energy: 1.53 states/eV/atom
- DFT formation energy: 1.87 eV per atom
- V: 69.7 Å³/f.u.

---

NbVW6: relaxed, PBE.

Cell and atoms, written as CIF:
```
data_NbVW6
_chemical_formula_sum 'Nb2 V2 W12'
_cell_length_a 6.3501
_cell_length_b 8.9798
_cell_length_c 4.4990
_cell_angle_alpha 90.00
_cell_angle_beta 90.00
_cell_angle_gamma 90.00
_space_group_name_H-M_alt 'C m m m'
_space_group_IT_number 65
_space_group_name_Hall '-C 2 2'
loop_
_atom_site_label
_atom_site_type_symbol
_atom_site_fract_x
_atom_site_fract_y
_atom_site_fract_z
Nb1 Nb 0.0000 0.0000 0.0000
V1 V 0.0000 0.5000 0.0000
W1 W 0.0000 0.2514 0.5000
W2 W 0.2450 0.5000 0.5000
W3 W 0.2500 0.2500 0.0000
```

Output
- Energy relative to the lowest polymorph listed for this composition: 0.00 kcal/mol of atoms
- DOS at the Fermi energy: 0.28 states/eV/atom
- DFT formation energy: -0.07 eV per atom
- V: 128.3 Å³/f.u.

---

Li2MgSi: relaxed, PBE.

Cell and atoms, written as CIF:
```
data_Li2MgSi
_chemical_formula_sum 'Li8 Mg4 Si4'
_cell_length_a 6.3727
_cell_length_b 6.3727
_cell_length_c 6.3727
_cell_angle_alpha 90.00
_cell_angle_beta 90.00
_cell_angle_gamma 90.00
_space_group_name_H-M_alt 'F -4 3 m'
_space_group_IT_number 216
_space_group_name_Hall 'F -4 2 3'
loop_
_atom_site_label
_atom_site_type_symbol
_atom_site_fract_x
_atom_site_fract_y
_atom_site_fract_z
Li1 Li 0.0000 0.0000 0.0000
Li2 Li 0.2500 0.2500 0.2500
Mg1 Mg 0.2500 0.2500 0.7500
Si1 Si 0.0000 0.0000 0.5000
```

Output
- DOS at the Fermi energy: 0.11 states/eV/atom
- Formation energy without anion corrections: -233 meV per atom
- V: 64.7 Å³/f.u.

---

LiOsBr2: relaxed, PBE.

Cell and atoms, written as CIF:
```
data_LiOsBr2
_chemical_formula_sum 'Li1 Os1 Br2'
_cell_length_a 3.3285
_cell_length_b 3.9128
_cell_length_c 6.4612
_cell_angle_alpha 90.00
_cell_angle_beta 102.43
_cell_angle_gamma 90.00
_space_group_name_H-M_alt 'P 1 2/m 1'
_space_group_IT_number 10
_space_group_name_Hall '-P 2y'
loop_
_atom_site_label
_atom_site_type_symbol
_atom_site_fract_x
_atom_site_fract_y
_atom_site_fract_z
Li1 Li 0.0000 0.0000 0.0000
Os1 Os 0.5000 0.0000 0.5000
Br1 Br 0.4365 0.5000 0.2528
```

Output
- Energy relative to the lowest polymorph listed for this composition: 4.68 kcal/mol of atoms
- DOS at the Fermi energy: 0.62 states/eV/atom
- Formation energy without anion corrections: 288 meV per atom
- V: 82.2 Å³/f.u.

---

UHg3I4: relaxed, PBE.

Cell and atoms, written as CIF:
```
data_UHg3I4
_chemical_formula_sum 'U2 Hg6 I8'
_cell_length_a 10.2363
_cell_length_b 10.2363
_cell_length_c 9.7497
_cell_angle_alpha 90.00
_cell_angle_beta 90.00
_cell_angle_gamma 90.00
_space_group_name_H-M_alt 'I -4 2 m'
_space_group_IT_number 121
_space_group_name_Hall 'I -4 2'
loop_
_atom_site_label
_atom_site_type_symbol
_atom_site_fract_x
_atom_site_fract_y
_atom_site_fract_z
U1 U 0.0000 0.0000 0.0000
Hg1 Hg 0.0000 0.0000 0.5000
Hg2 Hg 0.0000 0.5000 0.2500
I1 I 0.1706 0.1706 0.8482
```

Output
- DOS at the Fermi energy: 1.15 states/eV/atom
- Formation energy without anion corrections: -315 meV per atom
- V: 510.8 Å³/f.u.

---

CsTl2InCo: relaxed, PBE.

Cell and atoms, written as CIF:
```
data_CsTl2InCo
_chemical_formula_sum 'Cs1 Tl2 In1 Co1'
_cell_length_a 5.2954
_cell_length_b 5.2954
_cell_length_c 5.1787
_cell_angle_alpha 90.00
_cell_angle_beta 90.00
_cell_angle_gamma 90.00
_space_group_name_H-M_alt 'P 4/m m m'
_space_group_IT_number 123
_space_group_name_Hall '-P 4 2'
loop_
_atom_site_label
_atom_site_type_symbol
_atom_site_fract_x
_atom_site_fract_y
_atom_site_fract_z
Cs1 Cs 0.0000 0.0000 0.0000
Tl1 Tl 0.0000 0.5000 0.5000
In1 In 0.5000 0.5000 0.0000
Co1 Co 0.5000 0.5000 0.5000
```

Output
- DOS at the Fermi energy: 0.69 states/eV/atom
- DFT formation energy: 0.09 eV per atom
- V: 145.2 Å³/f.u.

---

Ti9Tl2Pb: relaxed, PBE.

Cell and atoms, written as CIF:
```
data_Ti9Tl2Pb
_chemical_formula_sum 'Ti9 Tl2 Pb1'
_cell_length_a 4.1880
_cell_length_b 4.1880
_cell_length_c 12.5486
_cell_angle_alpha 90.00
_cell_angle_beta 90.00
_cell_angle_gamma 90.00
_space_group_name_H-M_alt 'P 4/m m m'
_space_group_IT_number 123
_space_group_name_Hall '-P 4 2'
loop_
_atom_site_label
_atom_site_type_symbol
_atom_site_fract_x
_atom_site_fract_y
_atom_site_fract_z
Ti1 Ti 0.0000 0.0000 0.0000
Ti2 Ti 0.0000 0.0000 0.3352
Ti3 Ti 0.0000 0.5000 0.1675
Ti4 Ti 0.0000 0.5000 0.5000
Tl1 Tl 0.5000 0.5000 0.3338
Pb1 Pb 0.5000 0.5000 0.0000
```

Output
- DOS at the Fermi energy: 1.20 states/eV/atom
- DFT formation energy: 0.01 eV per atom
- V: 220.1 Å³/f.u.

---

VNi9Sb2: relaxed, PBE.

Cell and atoms, written as CIF:
```
data_VNi9Sb2
_chemical_formula_sum 'V1 Ni9 Sb2'
_cell_length_a 3.6803
_cell_length_b 3.6803
_cell_length_c 11.0101
_cell_angle_alpha 90.00
_cell_angle_beta 90.00
_cell_angle_gamma 90.00
_space_group_name_H-M_alt 'P 4/m m m'
_space_group_IT_number 123
_space_group_name_Hall '-P 4 2'
loop_
_atom_site_label
_atom_site_type_symbol
_atom_site_fract_x
_atom_site_fract_y
_atom_site_fract_z
V1 V 0.0000 0.0000 0.0000
Ni1 Ni 0.0000 0.5000 0.1522
Ni2 Ni 0.0000 0.5000 0.5000
Ni3 Ni 0.5000 0.5000 0.0000
Ni4 Ni 0.5000 0.5000 0.3267
Sb1 Sb 0.0000 0.0000 0.3291
```

Output
- DOS at the Fermi energy: 0.83 states/eV/atom
- Formation energy without anion corrections: -158 meV per atom
- V: 149.1 Å³/f.u.

---

La2BiPt: relaxed, PBE.

Cell and atoms, written as CIF:
```
data_La2BiPt
_chemical_formula_sum 'La6 Bi3 Pt3'
_cell_length_a 4.4567
_cell_length_b 4.4567
_cell_length_c 22.5785
_cell_angle_alpha 90.00
_cell_angle_beta 90.00
_cell_angle_gamma 120.00
_space_group_name_H-M_alt 'R 3 m'
_space_group_IT_number 160
_space_group_name_Hall 'R 3 -2"'
loop_
_atom_site_label
_atom_site_type_symbol
_atom_site_fract_x
_atom_site_fract_y
_atom_site_fract_z
La1 La 0.0000 0.0000 0.0000
La2 La 0.0000 0.0000 0.1892
Bi1 Bi 0.0000 0.0000 0.4290
Pt1 Pt 0.0000 0.0000 0.5932
```

Output
- DOS at the Fermi energy: 1.13 states/eV/atom
- DFT formation energy: -0.95 eV per atom
- V: 129.5 Å³/f.u.

---

CrTc2Ir: relaxed, PBE.

Cell and atoms, written as CIF:
```
data_CrTc2Ir
_chemical_formula_sum 'Cr4 Tc8 Ir4'
_cell_length_a 6.1292
_cell_length_b 6.1292
_cell_length_c 6.1292
_cell_angle_alpha 90.00
_cell_angle_beta 90.00
_cell_angle_gamma 90.00
_space_group_name_H-M_alt 'F -4 3 m'
_space_group_IT_number 216
_space_group_name_Hall 'F -4 2 3'
loop_
_atom_site_label
_atom_site_type_symbol
_atom_site_fract_x
_atom_site_fract_y
_atom_site_fract_z
Cr1 Cr 0.0000 0.0000 0.0000
Tc1 Tc 0.0000 0.0000 0.5000
Tc2 Tc 0.2500 0.2500 0.7500
Ir1 Ir 0.2500 0.2500 0.2500
```

Output
- Energy relative to the lowest polymorph listed for this composition: 6.07 kcal/mol of atoms
- DOS at the Fermi energy: 0.94 states/eV/atom
- DFT formation energy: 0.21 eV per atom
- V: 57.6 Å³/f.u.

---

YZrAg2: relaxed, PBE.

Cell and atoms, written as CIF:
```
data_YZrAg2
_chemical_formula_sum 'Y1 Zr1 Ag2'
_cell_length_a 5.0221
_cell_length_b 5.0221
_cell_length_c 3.5348
_cell_angle_alpha 90.00
_cell_angle_beta 90.00
_cell_angle_gamma 90.00
_space_group_name_H-M_alt 'P 4/m m m'
_space_group_IT_number 123
_space_group_name_Hall '-P 4 2'
loop_
_atom_site_label
_atom_site_type_symbol
_atom_site_fract_x
_atom_site_fract_y
_atom_site_fract_z
Y1 Y 0.0000 0.0000 0.0000
Zr1 Zr 0.5000 0.5000 0.0000
Ag1 Ag 0.0000 0.5000 0.5000
```

Output
- Energy relative to the lowest polymorph listed for this composition: 0.29 kcal/mol of atoms
- DOS at the Fermi energy: 0.97 states/eV/atom
- DFT formation energy: -0.10 eV per atom
- V: 89.2 Å³/f.u.

---

Ti2SiAgAs: relaxed, PBE.

Cell and atoms, written as CIF:
```
data_Ti2SiAgAs
_chemical_formula_sum 'Ti2 Si1 Ag1 As1'
_cell_length_a 4.7150
_cell_length_b 4.7150
_cell_length_c 4.7116
_cell_angle_alpha 90.00
_cell_angle_beta 90.00
_cell_angle_gamma 90.00
_space_group_name_H-M_alt 'P 4/m m m'
_space_group_IT_number 123
_space_group_name_Hall '-P 4 2'
loop_
_atom_site_label
_atom_site_type_symbol
_atom_site_fract_x
_atom_site_fract_y
_atom_site_fract_z
Ti1 Ti 0.0000 0.5000 0.0000
Si1 Si 0.0000 0.0000 0.5000
Ag1 Ag 0.5000 0.5000 0.5000
As1 As 0.0000 0.0000 0.0000
```

Output
- DOS at the Fermi energy: 0.73 states/eV/atom
- Formation energy without anion corrections: 521 meV per atom
- V: 104.7 Å³/f.u.

---

BaCaTeBr2: relaxed, PBE.

Cell and atoms, written as CIF:
```
data_BaCaTeBr2
_chemical_formula_sum 'Ba4 Ca4 Te4 Br8'
_cell_length_a 4.4458
_cell_length_b 16.6937
_cell_length_c 9.6582
_cell_angle_alpha 90.00
_cell_angle_beta 90.00
_cell_angle_gamma 90.00
_space_group_name_H-M_alt 'C m c m'
_space_group_IT_number 63
_space_group_name_Hall '-C 2c 2'
loop_
_atom_site_label
_atom_site_type_symbol
_atom_site_fract_x
_atom_site_fract_y
_atom_site_fract_z
Ba1 Ba 0.0000 0.2242 0.2500
Ca1 Ca 0.0000 0.0000 0.0000
Te1 Te 0.0000 0.4505 0.7500
Br1 Br 0.0000 0.1670 0.5696
```

Output
- DOS at the Fermi energy: 0.00 states/eV/atom
- Formation energy without anion corrections: -1894 meV per atom
- V: 179.2 Å³/f.u.

---

LiBe2W: relaxed, PBE.

Cell and atoms, written as CIF:
```
data_LiBe2W
_chemical_formula_sum 'Li1 Be2 W1'
_cell_length_a 2.6827
_cell_length_b 2.6827
_cell_length_c 6.3332
_cell_angle_alpha 90.00
_cell_angle_beta 90.00
_cell_angle_gamma 90.00
_space_group_name_H-M_alt 'P 4/m m m'
_space_group_IT_number 123
_space_group_name_Hall '-P 4 2'
loop_
_atom_site_label
_atom_site_type_symbol
_atom_site_fract_x
_atom_site_fract_y
_atom_site_fract_z
Li1 Li 0.0000 0.0000 0.0000
Be1 Be 0.5000 0.5000 0.2249
W1 W 0.0000 0.0000 0.5000
```

Output
- Energy relative to the lowest polymorph listed for this composition: 0.00 kcal/mol of atoms
- DOS at the Fermi energy: 0.46 states/eV/atom
- DFT formation energy: 0.17 eV per atom
- V: 45.6 Å³/f.u.

---

Nd4Sm7In: relaxed, PBE.

Cell and atoms, written as CIF:
```
data_Nd4Sm7In
_chemical_formula_sum 'Nd8 Sm14 In2'
_cell_length_a 16.2792
_cell_length_b 6.0409
_cell_length_c 9.4411
_cell_angle_alpha 90.00
_cell_angle_beta 115.87
_cell_angle_gamma 90.00
_space_group_name_H-M_alt 'C 1 2/m 1'
_space_group_IT_number 12
_space_group_name_Hall '-C 2y'
loop_
_atom_site_label
_atom_site_type_symbol
_atom_site_fract_x
_atom_site_fract_y
_atom_site_fract_z
Nd1 Nd 0.0976 0.0000 0.4859
Nd2 Nd 0.2285 0.0000 0.2728
Sm1 Sm 0.0000 0.0000 0.0000
Sm2 Sm 0.0662 0.5000 0.7230
Sm3 Sm 0.1570 0.5000 0.3394
Sm4 Sm 0.2211 0.0000 0.8985
In1 In 0.0000 0.5000 0.0000
```

Output
- DOS at the Fermi energy: 1.43 states/eV/atom
- DFT formation energy: 0.12 eV per atom
- V: 417.7 Å³/f.u.

---

HgW2Au: relaxed, PBE.

Cell and atoms, written as CIF:
```
data_HgW2Au
_chemical_formula_sum 'Hg1 W2 Au1'
_cell_length_a 3.9564
_cell_length_b 3.9564
_cell_length_c 4.4302
_cell_angle_alpha 90.00
_cell_angle_beta 90.00
_cell_angle_gamma 90.00
_space_group_name_H-M_alt 'P 4/m m m'
_space_group_IT_number 123
_space_group_name_Hall '-P 4 2'
loop_
_atom_site_label
_atom_site_type_symbol
_atom_site_fract_x
_atom_site_fract_y
_atom_site_fract_z
Hg1 Hg 0.0000 0.0000 0.0000
W1 W 0.0000 0.5000 0.5000
Au1 Au 0.5000 0.5000 0.0000
```

Output
- DOS at the Fermi energy: 0.23 states/eV/atom
- DFT formation energy: 0.66 eV per atom
- V: 69.3 Å³/f.u.

---

Pr2NdCd: relaxed, PBE.

Cell and atoms, written as CIF:
```
data_Pr2NdCd
_chemical_formula_sum 'Pr6 Nd3 Cd3'
_cell_length_a 3.6993
_cell_length_b 3.6993
_cell_length_c 33.7046
_cell_angle_alpha 90.00
_cell_angle_beta 90.00
_cell_angle_gamma 120.00
_space_group_name_H-M_alt 'R -3 m'
_space_group_IT_number 166
_space_group_name_Hall '-R 3 2"'
loop_
_atom_site_label
_atom_site_type_symbol
_atom_site_fract_x
_atom_site_fract_y
_atom_site_fract_z
Pr1 Pr 0.0000 0.0000 0.2441
Nd1 Nd 0.0000 0.0000 0.0000
Cd1 Cd 0.0000 0.0000 0.5000
```

Output
- Energy relative to the lowest polymorph listed for this composition: 1.95 kcal/mol of atoms
- DOS at the Fermi energy: 1.00 states/eV/atom
- DFT formation energy: -0.07 eV per atom
- V: 133.1 Å³/f.u.